# 1
## Pm5Cd4Ir (PBE)

Data for Pm5Cd4Ir after structural relaxation.

a b c (Å): 3.7048 3.7048 19.5145
angles (deg): 90.00 90.00 90.00
Last column: nearest neighbours and their distance in Å.
Fractional positions:
Pm 0.0000 0.0000 0.0000  8 Cd 3.30
Pm 0.0000 0.0000 0.2066  8 Cd 3.27-3.31
Pm 0.0000 0.0000 0.4169  4 Ir 3.08, 1 Pm 3.24, 4 Cd 3.38
Pm 0.0000 0.0000 0.5831  4 Ir 3.08, 1 Pm 3.24, 4 Cd 3.38
Pm 0.0000 0.0000 0.7934  8 Cd 3.27-3.31
Cd 0.5000 0.5000 0.1029  8 Pm 3.30-3.31
Cd 0.5000 0.5000 0.3071  8 Pm 3.27-3.38
Cd 0.5000 0.5000 0.6929  8 Pm 3.27-3.38
Cd 0.5000 0.5000 0.8971  8 Pm 3.30-3.31
Ir 0.5000 0.5000 0.5000  8 Pm 3.08

Summary:
SG   P4/mmm, No. 123

# 2
## TbPtRhAu (PBE)

Data for TbPtRhAu after structural relaxation.

a b c (Å): 4.7061 4.7061 4.7061
angles (deg): 60.00 60.00 60.00
Last column: nearest neighbours and their distance in Å.
Fractional positions:
Tb 0.0000 0.0000 0.0000  4 Rh 2.88, 4 Pt 2.88
Pt 0.7500 0.7500 0.7500  4 Au 2.88, 4 Tb 2.88
Rh 0.2500 0.2500 0.2500  4 Au 2.88, 4 Tb 2.88
Au 0.5000 0.5000 0.5000  4 Pt 2.88, 4 Rh 2.88

Summary:
SG   F-43m, No. 216

# 3
## BaNpAs (PBE)

Data for BaNpAs after structural relaxation.

a b c (Å): 4.3004 4.3004 11.6955
angles (deg): 100.48 100.48 90.00
Last column: nearest neighbours and their distance in Å.
Fractional positions:
Ba 0.1532 0.1532 0.3099  4 As 3.35
Ba 0.8468 0.8468 0.6901  4 As 3.35
Np 0.0000 0.5000 0.0000  4 As 3.01, 4 Np 3.04
Np 0.5000 0.0000 0.0000  4 As 3.01, 4 Np 3.04
As 0.4080 0.4080 0.8138  4 Np 3.01, 4 Ba 3.35
As 0.5920 0.5920 0.1862  4 Np 3.01, 4 Ba 3.35

Summary:
SG   C2/m, No. 12

# 4
## Dy8ZnCo2 (PBE)

Data for Dy8ZnCo2 after structural relaxation.

a b c (Å): 8.9825 8.9825 6.7352
angles (deg): 106.29 106.29 32.12
Last column: nearest neighbours and their distance in Å.
Fractional positions:
Dy 0.0391 0.0391 0.2797  1 Co 2.72
Dy 0.1997 0.1997 0.8270  1 Co 2.66
Dy 0.3239 0.3239 0.5192  1 Co 2.65
Dy 0.4043 0.4043 0.0294  1 Zn 3.12, 2 Co 3.13, 7 Dy 3.31-3.48
Dy 0.5957 0.5957 0.9706  1 Zn 3.12, 2 Co 3.13, 7 Dy 3.31-3.48
Dy 0.6761 0.6761 0.4808  1 Co 2.65
Dy 0.8003 0.8003 0.1730  1 Co 2.66
Dy 0.9609 0.9609 0.7203  1 Co 2.72
Zn 0.5000 0.5000 0.5000  8 Dy 3.07-3.12
Co 0.1872 0.1872 0.2121  3 Dy 2.65-2.72
Co 0.8128 0.8128 0.7879  3 Dy 2.65-2.72

Summary:
SG   C2/m, No. 12

| no. | ΔH_f (0 K) (eV per atom) |
| --- | --- |
| 1 | -0.390 |
| 2 | -0.598 |
| 3 | -0.570 |
| 4 | -0.125 |